# AgBrO2

Crystalline AgBrO2 at its relaxed geometry (PBE, Alexandria via LeMat-Bulk).

crystal system	trigonal
energy relative to the elements, uncorrected	0.2199	eV per atom
space group	P3_121
E_tot	-3.390	eV per atom
total magnetization	0.0	μB/cell

Unit cell a=5.2805 b=5.2805 c=9.6170 alpha=90.00 beta=90.00 gamma=120.00
Element x y z (fractional)
Ag (0.0000, 0.6515, 0.1667)
Ag (0.3485, 0.3485, 0.5000)
Ag (0.6515, 0.0000, 0.8333)
Br (0.0000, 0.6640, 0.6667)
Br (0.3360, 0.3360, 0.0000)
Br (0.6640, 0.0000, 0.3333)
O (0.0201, 0.3111, 0.3349)
O (0.2910, 0.9799, 0.0016)
O (0.3111, 0.0201, 0.6651)
O (0.6889, 0.7090, 0.6682)
O (0.7090, 0.6889, 0.3318)
O (0.9799, 0.2910, 0.9984)


# NaMg6Ga

Crystalline NaMg6Ga at its relaxed geometry (PBE, Alexandria via LeMat-Bulk).

crystal system	orthorhombic
energy above the most stable polymorph in this dataset	0.0029	eV per atom
ΔE_f	0.11	eV per formula unit
space group	Amm2
E_tot	-1.726	eV per atom
total magnetization	0.0	μB/cell

Unit cell a=5.1945 b=6.3645 c=6.3645 alpha=59.76 beta=90.00 gamma=90.00
Element x y z (fractional)
Na (0.0000, 0.0000, 0.0000)
Mg (0.0000, 0.0002, 0.4984)
Mg (0.0000, 0.4984, 0.0002)
Mg (0.5000, 0.1701, 0.1701)
Mg (0.5000, 0.1731, 0.6615)
Mg (0.5000, 0.6615, 0.1731)
Mg (0.5000, 0.6656, 0.6656)
Ga (0.0000, 0.4964, 0.4964)


# BaSc2Si

Crystalline BaSc2Si at its relaxed geometry (PBE, Alexandria via LeMat-Bulk).

crystal system	trigonal
energy relative to the elements, uncorrected	0.5785	eV per atom
space group	R-3m
E_tot	-4.424	eV per atom
total magnetization	0.0	μB/cell

Unit cell a=11.7591 b=11.7591 c=11.7591 alpha=16.73 beta=16.73 gamma=16.73
Element x y z (fractional)
Ba (0.0000, 0.0000, 0.0000)
Sc (0.4235, 0.4235, 0.4235)
Sc (0.5765, 0.5765, 0.5765)
Si (0.5000, 0.5000, 0.5000)


# Er3ZnSi6Ni2

Crystalline Er3ZnSi6Ni2 at its relaxed geometry (PBE, Alexandria via LeMat-Bulk).

crystal system	trigonal
energy relative to the elements, uncorrected	-0.2596	eV per atom
space group	P-3m1
E_tot	-5.182	eV per atom
total magnetization	0.0	μB/cell

Unit cell a=5.5306 b=5.5306 c=8.1831 alpha=90.00 beta=90.00 gamma=120.00
Element x y z (fractional)
Er (0.0000, 0.0000, 0.0000)
Er (0.3333, 0.6667, 0.5959)
Er (0.6667, 0.3333, 0.4041)
Zn (0.0000, 0.0000, 0.5000)
Si (0.1861, 0.3721, 0.2703)
Si (0.1861, 0.8139, 0.2703)
Si (0.3721, 0.1861, 0.7297)
Si (0.6279, 0.8139, 0.2703)
Si (0.8139, 0.1861, 0.7297)
Si (0.8139, 0.6279, 0.7297)
Ni (0.3333, 0.6667, 0.0430)
Ni (0.6667, 0.3333, 0.9570)


# Ho4Ge2Te

Crystalline Ho4Ge2Te at its relaxed geometry (PBE, Alexandria via LeMat-Bulk).

crystal system	tetragonal
energy relative to the elements, uncorrected	-0.7364	eV per atom
space group	I4_1/amd
E_tot	-5.120	eV per atom
total magnetization	0.0	μB/cell

Unit cell a=8.6458 b=8.6458 c=8.6458 alpha=119.98 beta=119.98 gamma=90.04
Element x y z (fractional)
Ho (0.2690, 0.3073, 0.5382)
Ho (0.2692, 0.7310, 0.5382)
Ho (0.2690, 0.7308, 0.9618)
Ho (0.3073, 0.2690, 0.0382)
Ho (0.6927, 0.7310, 0.9618)
Ho (0.7310, 0.2692, 0.0382)
Ho (0.7308, 0.2690, 0.4618)
Ho (0.7310, 0.6927, 0.4618)
Ge (0.0000, 0.5000, 0.5000)
Ge (0.5000, 0.0000, 0.0000)
Ge (0.5000, 0.5000, 0.0000)
Ge (0.5000, 0.5000, 0.5000)
Te (0.1250, 0.8750, 0.2500)
Te (0.8750, 0.1250, 0.7500)


# PuCuSi

Crystalline PuCuSi at its relaxed geometry (PBE, Alexandria via LeMat-Bulk).

crystal system	tetragonal
energy relative to the elements, uncorrected	-0.0629	eV per atom
space group	I4mm
E_tot	-8.013	eV per atom
total magnetization	5.6	μB/cell

Unit cell a=5.9395 b=5.9395 c=5.9395 alpha=150.20 beta=150.20 gamma=42.65
Element x y z (fractional)
Pu (0.0000, 0.0000, 0.0000)
Cu (0.6996, 0.6996, 0.0000)
Si (0.3074, 0.3074, 0.0000)


# InGaPRu2

Crystalline InGaPRu2 at its relaxed geometry (PBE, Alexandria via LeMat-Bulk).

crystal system	tetragonal
ΔE_f	2.61	eV per formula unit
space group	P4/mmm
E_tot	-5.423	eV per atom
total magnetization	0.0	μB/cell

Unit cell a=4.4106 b=4.4106 c=4.9306 alpha=90.00 beta=90.00 gamma=90.00
Element x y z (fractional)
In (0.0000, 0.0000, 0.0000)
Ga (0.5000, 0.5000, 0.0000)
P (0.0000, 0.0000, 0.5000)
Ru (0.0000, 0.5000, 0.5000)
Ru (0.5000, 0.0000, 0.5000)


# PdBrF3

Crystalline PdBrF3 at its relaxed geometry (PBE, Alexandria via LeMat-Bulk).

crystal system	cubic
energy above the most stable polymorph in this dataset	0.2514	eV per atom
energy relative to the elements, uncorrected	-0.6286	eV per atom
space group	Pm-3m
E_tot	-3.125	eV per atom
total magnetization	1.6	μB/cell

Unit cell a=4.2394 b=4.2394 c=4.2394 alpha=90.00 beta=90.00 gamma=90.00
Element x y z (fractional)
Pd (0.0000, 0.0000, 0.0000)
Br (0.5000, 0.5000, 0.5000)
F (0.0000, 0.0000, 0.5000)
F (0.0000, 0.5000, 0.0000)
F (0.5000, 0.0000, 0.0000)


Number 1: calculated density 4.71 g/cm³. Number 2: calculated density 2.18 g/cm³. Number 3: calculated density 3.61 g/cm³. Number 4: calculated density 6.54 g/cm³. Number 5: calculated density 6.78 g/cm³. Number 6: calculated density 10.80 g/cm³. Number 7: calculated density 7.23 g/cm³. Number 8: calculated density 5.30 g/cm³.